Material: CaVNF2
Method: DFT, GGA+U
State: relaxed

Output
Energy above the lowest structure with this stoichiometry = 0 meV per atom
N(E_F) = 0.0873 states/eV per atom
Total energy = -0.228 Ha/atom
Magnetization = 2.0 μB/f.u.

a = 4.045 Å, b = 4.045 Å, c = 3.995 Å
α = 90.00°, β = 90.00°, γ = 90.00°
Site moments in Bohr magnetons follow the coordinates.
Fractional positions:
F 0.500 0.000 0.000  0.02
F 0.000 0.500 0.000  0.02
V 0.000 0.000 0.000  2.08
Ca 0.500 0.500 0.500  0.01
N 0.000 0.000 0.500  -0.21